Entry 1:
Computed, not measured: a crystal of BeCoMo relaxed with PBEsol at the SCAN level of DFT.

Properties
Polymorph energy (0 for the lowest one), meV/atom: 650
ΔH_f (0 K), eV/atom: 0.569
Calculated density, g/cm3: 7.65
Density of states at the Fermi level, states/eV/cell: 2.805

Unit cell a=3.6912 b=3.6912 c=3.6912 alpha=60.00 beta=60.00 gamma=60.00
Last column: nearest neighbours and their distance in Å.
Element x y z (fractional)
Be  0.0000  0.0000  0.0000  4 Co 2.26, 4 Mo 2.26
Co  0.7500  0.7500  0.7500  4 Be 2.26
Mo  0.2500  0.2500  0.2500  4 Be 2.26

***

Entry 2:
Computed, not measured: a crystal of BeCoMo3 relaxed with PBEsol at the SCAN level of DFT.

Properties
ΔH_f (0 K), eV/atom: 1.470
Calculated density, g/cm3: 7.11
Density of states at the Fermi level, states/eV/cell: 4.207

Unit cell a=4.3636 b=4.3636 c=4.3636 alpha=90.00 beta=90.00 gamma=90.00
Last column: nearest neighbours and their distance in Å.
Element x y z (fractional)
Be  0.0000  0.0000  0.0000  12 Mo 3.09
Co  0.5000  0.5000  0.5000  6 Mo 2.18
Mo  0.0000  0.5000  0.5000  2 Co 2.18
Mo  0.5000  0.0000  0.5000  2 Co 2.18
Mo  0.5000  0.5000  0.0000  2 Co 2.18

***

Entry 3:
Computed, not measured: a crystal of Be2CoMo relaxed with PBEsol at the SCAN level of DFT.

Properties
ΔH_f (0 K), eV/atom: 0.145
Calculated density, g/cm3: 6.64
Density of states at the Fermi level, states/eV/cell: 2.423

Unit cell a=4.6708 b=4.6708 c=4.6708 alpha=148.10 beta=125.71 gamma=64.36
Last column: nearest neighbours and their distance in Å.
Element x y z (fractional)
Be  0.2277  0.2277  0.0000  2 Co 2.21
Be  0.7723  0.7723  0.0000  2 Co 2.21
Co  0.0000  0.5000  0.5000  4 Be 2.21
Mo  0.5000  0.0000  0.5000  4 Co 2.49, 4 Be 2.51, 2 Mo 2.57

***

> Among the records above, which one has the highest ΔH_f (0 K)?

BeCoMo3

***

> Which formula does entry 3 have?

Be2CoMo

***

Copy entry 3 word for word.
Computed, not measured: a crystal of Be2CoMo relaxed with PBEsol at the SCAN level of DFT.

Properties
ΔH_f (0 K), eV/atom: 0.145
Calculated density, g/cm3: 6.64
Density of states at the Fermi level, states/eV/cell: 2.423

Unit cell a=4.6708 b=4.6708 c=4.6708 alpha=148.10 beta=125.71 gamma=64.36
Last column: nearest neighbours and their distance in Å.
Element x y z (fractional)
Be  0.2277  0.2277  0.0000  2 Co 2.21
Be  0.7723  0.7723  0.0000  2 Co 2.21
Co  0.0000  0.5000  0.5000  4 Be 2.21
Mo  0.5000  0.0000  0.5000  4 Co 2.49, 4 Be 2.51, 2 Mo 2.57

***

> The lowest density of states at the Fermi level belongs to which entry?

Be2CoMo